[1]
Here is an optimized crystal structure of Mg2CrRh from Alexandria. Energies are from PBE-GGA.

Calculated values
magnetic moment	15.784	Bohr magnetons per cell
E_form	0.01	eV per atom
ΔE to the lowest computed polymorph	0.070	eV/atom
E_tot	-5.028	eV/atom

abc: 6.4145 6.4145 6.4145
angles: 90.00 90.00 90.00
Closest atoms and distances in Å follow each position.
Space group F-43m (No. 216)
Symmetry-distinct sites (fractional):
Mg 0.0000 0.0000 0.0000  4 Cr 2.78, 4 Mg 2.78
Mg 0.2500 0.2500 0.2500  4 Mg 2.78, 4 Rh 2.78
Cr 0.2500 0.2500 0.7500  4 Mg 2.78, 4 Rh 2.78
Rh 0.0000 0.0000 0.5000  4 Cr 2.78, 4 Mg 2.78


[2]
Here is an optimized crystal structure of LiAc2Sn6Pd from Alexandria. Energies are from PBE-GGA.

Calculated values
magnetic moment	0.000	Bohr magnetons per cell
E_form	-0.44	eV per atom
E_tot	-4.379	eV/atom

abc: 7.0180 7.0180 38.5981
angles: 90.00 90.00 120.00
Closest atoms and distances in Å follow each position.
Space group R-3m (No. 166, hexagonal axes)
Symmetry-distinct sites (fractional):
Li 0.0000 0.0000 0.0708  6 Sn 2.67-2.77, 1 Pd 2.73
Ac 0.0000 0.0000 0.2079  12 Sn 3.51-3.78
Ac 0.0000 0.0000 0.3846  12 Sn 3.56-3.84
Sn 0.0294 0.5147 0.7911  1 Pd 2.74, 1 Li 2.77
Sn 0.0540 0.5270 0.3713  1 Li 2.67, 1 Pd 2.77, 2 Sn 2.94
Pd 0.0000 0.0000 0.0000  2 Li 2.73, 6 Sn 2.77
Pd 0.0000 0.0000 0.5000  6 Sn 2.74


[3]
Here is an optimized crystal structure of Tl2CdCl from Alexandria. Energies are from PBE-GGA.

Calculated values
magnetic moment	0.000	Bohr magnetons per cell
ΔE to the lowest computed polymorph	0.080	eV/atom
uncorrected formation energy	-0.31	eV per atom
E_tot	-2.179	eV/atom

abc: 4.9497 4.9541 9.5550
angles: 90.00 90.00 90.00
Closest atoms and distances in Å follow each position.
Space group Immm (No. 71)
Symmetry-distinct sites (fractional):
Tl 0.0000 0.0000 0.2367  4 Cl 3.35-3.53, 4 Cd 3.35-3.53, 4 Tl 3.51
Cd 0.0000 0.5000 0.0000  8 Tl 3.35-3.53, 4 Cl 3.50
Cl 0.0000 0.5000 0.5000  8 Tl 3.35-3.53, 4 Cd 3.50


[4]
Here is an optimized crystal structure of Ba2ZnIr2 from Alexandria. Energies are from PBE-GGA.

Calculated values
magnetic moment	0.000	Bohr magnetons per cell
E_form	-0.14	eV per atom
E_tot	-4.712	eV/atom

abc: 10.0482 6.3026 8.3084
angles: 90.00 101.59 90.00
Closest atoms and distances in Å follow each position.
Space group C2/c (No. 15)
Symmetry-distinct sites (fractional):
Ba 0.1487 0.1383 0.1453  6 Ir 3.20-3.38, 2 Zn 3.35-3.48
Zn 0.0000 0.4217 0.7500  4 Ir 2.68-2.72
Ir 0.1393 0.3549 0.5108  1 Ir 2.63, 2 Zn 2.68-2.72


[5]
Here is an optimized crystal structure of HgBO2 from Alexandria. Energies are from PBE-GGA.

Calculated values
magnetic moment	0.000	Bohr magnetons per cell
ΔE to the lowest computed polymorph	0.000	eV/atom
uncorrected formation energy	-1.16	eV per atom
E_tot	-5.385	eV/atom

abc: 13.4135 3.0573 7.6516
angles: 90.00 122.56 90.00
Closest atoms and distances in Å follow each position.
Space group C2/c (No. 15)
Symmetry-distinct sites (fractional):
Hg 0.2500 0.2500 0.0000  4 O 2.59-2.80
B 0.0000 0.0000 0.0000  2 O 1.27
O 0.1025 0.1638 0.1180  1 B 1.27